EuPa2Rh: optimized geometry, GGA-PBE.

Results
* formation enthalpy at 0 K: -33 meV/atom
* total moment: 7.3 μB/f.u.

a b c (Å): 3.5972 3.5972 28.4758
angles (deg): 90.00 90.00 120.00
With the nearest neighbours (Å) after each atom.
Space group R-3m (No. 166, hexagonal axes)
Inequivalent atoms, fractional coordinates:
Eu: 0.0000 0.0000 0.0000 [3 per cell]  6 Pa 3.56, 6 Eu 3.60
Pa: 0.0000 0.0000 0.2318 [6 per cell]  3 Rh 2.79
Rh: 0.0000 0.0000 0.5000 [3 per cell]  6 Pa 2.79

***

EuPaRh2: optimized geometry, GGA-PBE.

Results
* formation enthalpy at 0 K: -622 meV/atom
* total moment: 7.1 μB/f.u.

a b c (Å): 3.8497 3.8497 22.0172
angles (deg): 90.00 90.00 120.00
With the nearest neighbours (Å) after each atom.
Space group R-3m (No. 166, hexagonal axes)
Inequivalent atoms, fractional coordinates:
Eu: 0.0000 0.0000 0.0000 [3 per cell]  6 Rh 3.06
Pa: 0.0000 0.0000 0.5000 [3 per cell]  6 Rh 2.72
Rh: 0.0000 0.0000 0.2380 [6 per cell]  3 Pa 2.72

***

EuPaRu2: optimized geometry, GGA-PBE.

Results
* formation enthalpy at 0 K: -318 meV/atom
* total moment: 6.9 μB/f.u.

a b c (Å): 3.4215 3.4215 7.2703
angles (deg): 90.00 90.00 90.00
With the nearest neighbours (Å) after each atom.
Space group P4/mmm (No. 123)
Inequivalent atoms, fractional coordinates:
Eu: 0.0000 0.0000 0.0000 [1 per cell]  8 Ru 3.25, 4 Eu 3.42, 2 Pa 3.64
Pa: 0.0000 0.0000 0.5000 [1 per cell]  8 Ru 2.82
Ru: 0.5000 0.5000 0.2995 [2 per cell]  4 Pa 2.82, 1 Ru 2.92

***

EuPa2Ru: optimized geometry, GGA-PBE.

Results
* formation enthalpy at 0 K: 58 meV/atom
* total moment: 7.0 μB/f.u.

a b c (Å): 3.7007 3.7007 27.5007
angles (deg): 90.00 90.00 120.00
With the nearest neighbours (Å) after each atom.
Space group R-3m (No. 166, hexagonal axes)
Inequivalent atoms, fractional coordinates:
Eu: 0.0000 0.0000 0.0000 [3 per cell]  6 Pa 3.58, 6 Eu 3.70
Pa: 0.0000 0.0000 0.2287 [6 per cell]  3 Ru 2.73
Ru: 0.0000 0.0000 0.5000 [3 per cell]  6 Pa 2.73

***

EuPaRu: optimized geometry, GGA-PBE.

Results
* formation enthalpy at 0 K: -159 meV/atom
* total moment: 7.4 μB/f.u.

a b c (Å): 3.5301 3.5301 11.6745
angles (deg): 90.00 90.00 90.00
With the nearest neighbours (Å) after each atom.
Space group I4mm (No. 107)
Inequivalent atoms, fractional coordinates:
Eu: 0.0000 0.0000 0.0000 [2 per cell]  5 Ru 3.39-3.55, 5 Pa 3.42-3.48, 4 Eu 3.53
Pa: 0.0000 0.0000 0.2928 [2 per cell]  4 Ru 2.74
Ru: 0.0000 0.0000 0.6960 [2 per cell]  4 Pa 2.74

***

EuPaRu: optimized geometry, GGA-PBE.

Results
* formation enthalpy at 0 K: 151 meV/atom
* total moment: 6.8 μB/f.u.

a b c (Å): 4.7337 4.7337 3.4172
angles (deg): 90.00 90.00 120.00
With the nearest neighbours (Å) after each atom.
Space group P3m1 (No. 156)
Inequivalent atoms, fractional coordinates:
Eu: 0.0000 0.0000 0.0000 [1 per cell]  3 Ru 3.02, 3 Pa 3.04
Pa: 0.3333 0.6667 0.3907 [1 per cell]  3 Ru 2.85, 3 Eu 3.04
Ru: 0.6667 0.3333 0.6235 [1 per cell]  3 Pa 2.85, 3 Eu 3.02

***

EuPaRu2: optimized geometry, GGA-PBE.

Results
* formation enthalpy at 0 K: -128 meV/atom
* total moment: 7.3 μB/f.u.

a b c (Å): 3.5062 3.5062 24.9128
angles (deg): 90.00 90.00 120.00
With the nearest neighbours (Å) after each atom.
Space group R-3m (No. 166, hexagonal axes)
Inequivalent atoms, fractional coordinates:
Eu: 0.0000 0.0000 0.0000 [3 per cell]  6 Ru 3.16, 6 Eu 3.51
Pa: 0.0000 0.0000 0.5000 [3 per cell]  6 Ru 2.66
Ru: 0.0000 0.0000 0.2360 [6 per cell]  3 Pa 2.66

***

EuPaRu2: optimized geometry, GGA-PBE.

Results
* formation enthalpy at 0 K: -117 meV/atom
* total moment: 6.7 μB/f.u.

a b c (Å): 4.8238 4.8238 3.4899
angles (deg): 90.00 90.00 90.00
With the nearest neighbours (Å) after each atom.
Space group P4/mmm (No. 123)
Inequivalent atoms, fractional coordinates:
Eu: 0.0000 0.0000 0.0000 [1 per cell]  8 Ru 2.98
Pa: 0.5000 0.5000 0.0000 [1 per cell]  8 Ru 2.98
Ru: 0.0000 0.5000 0.5000 [2 per cell]  4 Pa 2.98, 4 Eu 2.98

***

no.,VASP energy (hartree per atom),ρ (Mg/m³)
1,-0.3376,11.2
2,-0.3396,10.4
3,-0.3638,11.4
4,-0.3520,10.9
5,-0.3616,11.1
6,-0.3503,12.1
7,-0.3568,11.0
8,-0.3564,12.0